P:
{"formula": "LiAs2WBr", "functional": "PBE", "state": "optimized geometry", "vol_a3_per_fu": 97.3, "lattice": [[4.469, 0.000, 0.000], [0.000, 4.469, 0.000], [0.000, 0.000, 4.871]], "species": ["Br", "As", "As", "Li", "W"], "fractional_positions": [[0.000, 0.000, 0.500], [0.000, 0.500, 0.000], [0.500, 0.000, 0.000], [0.000, 0.000, 0.000], [0.500, 0.500, 0.500]]}

---

Q:
{"formula": "LiAs2WBr", "functional": "PBE", "state": "optimized geometry", "vol_a3_per_fu": 132.4, "lattice": [[4.833, 0.000, 0.000], [0.000, 4.833, 0.000], [0.000, 0.000, 5.667]], "species": ["W", "As", "As", "Br", "Li"], "fractional_positions": [[0.000, 0.000, 0.000], [0.000, 0.500, 0.000], [0.500, 0.000, 0.000], [0.000, 0.000, 0.500], [0.500, 0.500, 0.500]]}

---

It is P that is the least stable of them.

---

P:
{"formula": "LiZnAs2Br", "functional": "PBE", "state": "optimized geometry", "vol_a3_per_fu": 108.9, "lattice": [[4.697, 0.000, 0.000], [0.000, 4.937, 0.000], [0.000, 0.000, 4.697]], "species": ["Li", "Br", "As", "As", "Zn"], "fractional_positions": [[0.000, 0.000, 0.000], [0.000, 0.500, 0.000], [0.500, 0.000, 0.000], [0.000, 0.000, 0.500], [0.500, 0.500, 0.500]]}

---

Q:
{"formula": "LiZnAs2Br", "functional": "PBE", "state": "optimized geometry", "vol_a3_per_fu": 139.3, "lattice": [[4.726, 0.000, 0.000], [0.000, 4.726, 0.000], [0.000, 0.000, 6.239]], "species": ["As", "As", "Zn", "Li", "Br"], "fractional_positions": [[0.500, 0.000, 0.000], [0.000, 0.500, 0.000], [0.000, 0.000, 0.000], [0.500, 0.500, 0.500], [0.000, 0.000, 0.500]]}

---

It is P that is the least stable of them.

---

P:
{"formula": "LiZrAs2Br", "functional": "PBE", "state": "optimized geometry", "vol_a3_per_fu": 101.0, "lattice": [[4.561, 0.000, 0.000], [0.000, 4.561, 0.000], [0.000, 0.000, 4.854]], "species": ["Li", "As", "As", "Br", "Zr"], "fractional_positions": [[0.000, 0.000, 0.000], [0.000, 0.500, 0.000], [0.500, 0.000, 0.000], [0.000, 0.000, 0.500], [0.500, 0.500, 0.500]]}

---

Q:
{"formula": "LiZrAs2Br", "functional": "PBE", "state": "optimized geometry", "vol_a3_per_fu": 150.7, "lattice": [[5.169, 0.000, 0.000], [0.000, 5.169, 0.000], [0.000, 0.000, 5.639]], "species": ["Li", "Br", "As", "As", "Zr"], "fractional_positions": [[0.500, 0.500, 0.500], [0.000, 0.000, 0.500], [0.000, 0.500, 0.000], [0.500, 0.000, 0.000], [0.000, 0.000, 0.000]]}

---

It is P that is the least stable of them.

---

P:
{"formula": "MgAsBr2", "functional": "PBE", "state": "optimized geometry", "vol_a3_per_fu": 102.4, "lattice": [[3.426, 0.046, 0.000], [-0.057, 3.426, 0.000], [0.000, 0.000, 8.720]], "species": ["Br", "Br", "Mg", "As"], "fractional_positions": [[0.500, 0.500, 0.341], [0.000, 0.000, 0.925], [0.000, 0.000, 0.516], [0.500, 0.500, 0.719]]}

---

Q:
{"formula": "MgAsBr2", "functional": "PBE", "state": "optimized geometry", "vol_a3_per_fu": 135.9, "lattice": [[10.182, 0.000, 0.000], [0.000, 10.182, 0.000], [5.091, 5.091, 2.621]], "species": ["Mg", "Mg", "Br", "Br", "Br", "Br", "As", "As"], "fractional_positions": [[0.500, 0.500, 0.000], [0.250, 0.750, 0.500], [0.375, 0.585, 0.750], [0.335, 0.625, 0.250], [0.415, 0.125, 0.250], [0.875, 0.665, 0.750], [0.000, 0.000, 0.000], [0.750, 0.250, 0.500]]}

---

It is Q that is the least stable of them.

---

P:
{"formula": "MgAsBr2", "functional": "PBE", "state": "optimized geometry", "vol_a3_per_fu": 146.2, "lattice": [[-2.449, -4.058, 0.652], [5.498, -2.716, 3.749], [2.769, -0.610, 6.603]], "species": ["As", "Br", "Br", "Mg"], "fractional_positions": [[0.500, 0.670, 0.670], [0.500, 0.259, 0.259], [0.000, 0.987, 0.987], [0.000, 0.584, 0.584]]}

---

Q:
{"formula": "MgAsBr2", "functional": "PBE", "state": "optimized geometry", "vol_a3_per_fu": 129.8, "lattice": [[7.889, 0.524, 0.058], [5.105, 6.038, -0.058], [-6.024, -4.216, 2.906]], "species": ["Br", "Br", "Mg", "As"], "fractional_positions": [[0.346, 0.846, 0.500], [0.061, 0.061, 0.000], [0.471, 0.471, 0.000], [0.622, 0.122, 0.500]]}

---

It is Q that is the least stable of them.

---

P:
{"formula": "MgAsBr2", "functional": "PBE", "state": "optimized geometry", "vol_a3_per_fu": 126.8, "lattice": [[3.461, 0.000, 0.000], [0.000, 4.206, 0.000], [0.000, 0.000, 8.710]], "species": ["Br", "Br", "Mg", "As"], "fractional_positions": [[0.500, 0.500, 0.312], [0.000, 0.000, 0.943], [0.000, 0.000, 0.664], [0.500, 0.500, 0.581]]}

---

Q:
{"formula": "MgAsBr2", "functional": "PBE", "state": "optimized geometry", "vol_a3_per_fu": 144.3, "lattice": [[-10.951, -6.820, -1.153], [-8.634, -9.426, -2.088], [-9.371, -8.832, 1.396]], "species": ["Br", "Br", "Mg", "As"], "fractional_positions": [[0.875, 0.875, 0.875], [0.125, 0.125, 0.125], [0.500, 0.500, 0.500], [0.000, 0.000, 0.000]]}

---

It is P that is the least stable of them.

---

P:
{"formula": "MgAsBr2", "functional": "PBE", "state": "optimized geometry", "vol_a3_per_fu": 130.8, "lattice": [[-3.238, -0.930, 1.161], [0.610, -0.099, -3.509], [3.515, -11.088, 0.923]], "species": ["As", "Br", "Br", "Mg"], "fractional_positions": [[0.500, 0.500, 0.750], [0.000, 0.000, 0.402], [0.000, 0.000, 0.098], [0.500, 0.500, 0.250]]}

---

Q:
{"formula": "MgAsBr2", "functional": "PBE", "state": "optimized geometry", "vol_a3_per_fu": 104.6, "lattice": [[2.045, 0.000, 9.621], [-1.023, 1.771, 9.621], [-1.023, -1.771, 9.621]], "species": ["Mg", "Br", "Br", "As"], "fractional_positions": [[0.000, 0.000, 0.000], [0.089, 0.089, 0.089], [0.911, 0.911, 0.911], [0.500, 0.500, 0.500]]}

---

R:
{"formula": "MgAsBr2", "functional": "PBE", "state": "optimized geometry", "vol_a3_per_fu": 130.7, "lattice": [[-1.696, -1.656, 2.266], [2.482, 0.350, 2.114], [-4.851, 10.408, 3.974]], "species": ["Br", "Br", "Mg", "As"], "fractional_positions": [[0.000, 0.000, 0.386], [0.000, 0.000, 0.114], [0.500, 0.500, 0.250], [0.500, 0.500, 0.750]]}

---

It is Q that is the least stable of them.

---

P:
{"formula": "Mg2AsBr", "functional": "PBE", "state": "optimized geometry", "vol_a3_per_fu": 104.3, "lattice": [[-0.381, -2.302, 2.328], [3.025, -1.144, -0.636], [3.647, 6.012, 6.541]], "species": ["Br", "Mg", "Mg", "As"], "fractional_positions": [[0.500, 0.500, 0.829], [0.500, 0.500, 0.259], [0.000, 0.000, 0.988], [0.000, 0.000, 0.424]]}

---

Q:
{"formula": "Mg2AsBr", "functional": "PBE", "state": "optimized geometry", "vol_a3_per_fu": 96.4, "lattice": [[-1.620, 2.591, -6.282], [-4.540, -1.854, -4.975], [1.171, 1.223, 6.777]], "species": ["Mg", "Mg", "Br", "As"], "fractional_positions": [[0.000, 0.000, 0.000], [0.250, 0.750, 0.500], [0.750, 0.250, 0.500], [0.500, 0.500, 0.000]]}

---

R:
{"formula": "Mg2AsBr", "functional": "PBE", "state": "optimized geometry", "vol_a3_per_fu": 90.8, "lattice": [[5.045, 0.000, 0.000], [2.523, 4.369, 0.000], [2.523, 1.456, 4.120]], "species": ["Mg", "Mg", "As", "Br"], "fractional_positions": [[0.000, 0.000, 0.000], [0.750, 0.750, 0.750], [0.500, 0.500, 0.500], [0.250, 0.250, 0.250]]}

---

S:
{"formula": "Mg2AsBr", "functional": "PBE", "state": "optimized geometry", "vol_a3_per_fu": 117.6, "lattice": [[6.090, 0.000, 0.000], [0.000, 6.090, 0.000], [3.045, 3.045, 6.343]], "species": ["Mg", "Mg", "Mg", "Mg", "As", "As", "Br", "Br"], "fractional_positions": [[0.581, 0.125, 0.250], [0.169, 0.625, 0.250], [0.875, 0.831, 0.750], [0.375, 0.419, 0.750], [0.250, 0.750, 0.500], [0.500, 0.500, 0.000], [0.000, 0.000, 0.000], [0.750, 0.250, 0.500]]}

---

It is R that is the least stable of them.

---

P:
{"formula": "Mg3AsBr", "functional": "PBE", "state": "optimized geometry", "vol_a3_per_fu": 147.5, "lattice": [[-3.596, 1.872, 3.388], [-3.488, -3.574, -1.727], [1.680, -3.412, 3.668]], "species": ["Mg", "Mg", "Mg", "As", "Br"], "fractional_positions": [[0.000, 0.500, 0.000], [0.500, 0.000, 0.000], [0.000, 0.000, 0.500], [0.000, 0.000, 0.000], [0.500, 0.500, 0.500]]}

---

Q:
{"formula": "Mg3AsBr", "functional": "PBE", "state": "optimized geometry", "vol_a3_per_fu": 138.7, "lattice": [[5.176, 0.000, 0.000], [0.000, 5.176, 0.000], [0.000, 0.000, 5.176]], "species": ["Mg", "Mg", "Mg", "As", "Br"], "fractional_positions": [[0.000, 0.500, 0.000], [0.000, 0.000, 0.500], [0.500, 0.000, 0.000], [0.500, 0.500, 0.500], [0.000, 0.000, 0.000]]}

---

It is Q that is the least stable of them.

---

P:
{"formula": "MgAsBr3", "functional": "PBE", "state": "optimized geometry", "vol_a3_per_fu": 156.4, "lattice": [[5.387, 0.000, 0.000], [0.000, 5.387, 0.000], [0.000, 0.000, 5.387]], "species": ["Br", "Br", "Br", "As", "Mg"], "fractional_positions": [[0.500, 0.000, 0.000], [0.000, 0.000, 0.500], [0.000, 0.500, 0.000], [0.000, 0.000, 0.000], [0.500, 0.500, 0.500]]}

---

Q:
{"formula": "MgAsBr3", "functional": "PBE", "state": "optimized geometry", "vol_a3_per_fu": 145.7, "lattice": [[-2.756, -1.467, 4.236], [4.134, -2.754, 1.735], [1.733, 4.237, 2.595]], "species": ["Br", "Br", "Br", "Mg", "As"], "fractional_positions": [[0.000, 0.000, 0.500], [0.500, 0.000, 0.000], [0.000, 0.500, 0.000], [0.000, 0.000, 0.000], [0.500, 0.500, 0.500]]}

---

It is P that is the least stable of them.

---

P:
{"formula": "MgNbAs2Br", "functional": "PBE", "state": "optimized geometry", "vol_a3_per_fu": 122.1, "lattice": [[4.892, 0.000, 0.000], [0.000, 4.892, 0.000], [0.000, 0.000, 5.100]], "species": ["Nb", "As", "As", "Br", "Mg"], "fractional_positions": [[0.500, 0.500, 0.500], [0.000, 0.500, 0.000], [0.500, 0.000, 0.000], [0.000, 0.000, 0.500], [0.000, 0.000, 0.000]]}

---

Q:
{"formula": "MgNbAs2Br", "functional": "PBE", "state": "optimized geometry", "vol_a3_per_fu": 133.3, "lattice": [[-2.831, -0.888, -4.049], [-1.757, -4.184, 2.146], [-3.956, 2.769, 2.159]], "species": ["Mg", "As", "As", "Nb", "Br"], "fractional_positions": [[0.500, 0.500, 0.500], [0.500, 0.000, 0.000], [0.000, 0.500, 0.000], [0.000, 0.000, 0.000], [0.000, 0.000, 0.500]]}

---

It is P that is the least stable of them.

---

P:
{"formula": "MgNbAsBr2", "functional": "PBE", "state": "optimized geometry", "vol_a3_per_fu": 138.7, "lattice": [[-4.084, -2.455, 2.086], [2.687, -0.738, 4.392], [-1.752, 4.461, 1.821]], "species": ["Br", "Br", "As", "Mg", "Nb"], "fractional_positions": [[0.500, 0.000, 0.000], [0.000, 0.500, 0.000], [0.000, 0.000, 0.500], [0.500, 0.500, 0.500], [0.000, 0.000, 0.000]]}

---

Q:
{"formula": "MgNbAsBr2", "functional": "PBE", "state": "optimized geometry", "vol_a3_per_fu": 131.8, "lattice": [[-1.872, -3.009, -3.377], [-0.636, -3.444, 3.420], [-5.031, 1.962, 1.040]], "species": ["Br", "Br", "Mg", "As", "Nb"], "fractional_positions": [[0.500, 0.000, 0.000], [0.000, 0.500, 0.000], [0.000, 0.000, 0.000], [0.000, 0.000, 0.500], [0.500, 0.500, 0.500]]}

---

It is Q that is the least stable of them.